1.
Compound: Ta3Sn5Pd12
Source: the Alexandria database
Functional: PBE
Structure: relaxed

As for the formation energy: 0.021 eV per atom.

The structure belongs to space group Ia-3d (No. 230); the cell edges are 15.2331, 15.2331 and 15.2331 Å and the angles 90.00°, 90.00° and 90.00°. Symmetry generates all atoms from Ta at (0.0000, 0.2500, 0.1250), Sn at (0.0000, 0.0000, 0.0000), Sn at (0.0000, 0.2500, 0.3750) and Pd at (0.0077, 0.0798, 0.6506).

---

2.
Compound: BaFe3Pt
Source: the Alexandria database
Functional: PBE
Structure: relaxed

As for the formation energy: 2.357 eV per atom.

The structure belongs to space group Pm-3m (No. 221); the cell edges are 4.7621, 4.7621 and 4.7621 Å and the angles 90.00°, 90.00° and 90.00°. Symmetry generates all atoms from Ba at (0.0000, 0.0000, 0.0000), Fe at (0.0000, 0.0000, 0.5000) and Pt at (0.5000, 0.5000, 0.5000).

---

3.
Compound: Mg5Ir
Source: the Alexandria database
Functional: PBE
Structure: relaxed

As for the formation energy: 0.161 eV per atom.

The structure belongs to space group F-43m (No. 216); the cell edges are 7.7092, 7.7092 and 7.7092 Å and the angles 90.00°, 90.00° and 90.00°. Symmetry generates all atoms from Mg at (0.0000, 0.0000, 0.0000), Mg at (0.1242, 0.1242, 0.3758) and Ir at (0.2500, 0.2500, 0.7500).

---

4.
Compound: Re6As7
Source: the Alexandria database
Functional: PBE
Structure: relaxed

As for the formation energy: 0.992 eV per atom.

The structure belongs to space group R-3m (No. 166, hexagonal axes); the cell edges are 5.0274, 5.0274 and 31.3818 Å and the angles 90.00°, 90.00° and 120.00°. Symmetry generates all atoms from Re at (0.0000, 0.0000, 0.0368), Re at (0.0000, 0.0000, 0.1845), Re at (0.0000, 0.0000, 0.3149), As at (0.0000, 0.0000, 0.5000) and As at (0.0065, 0.5032, 0.0823).

---

5.
Compound: TiAgSb2
Source: the Alexandria database
Functional: PBE
Structure: relaxed

The calculation puts the raw total energy at -74.37 eV for the cell shown.

The structure belongs to space group Fm-3m (No. 225); the cell edges are 7.0398, 7.0398 and 7.0398 Å and the angles 90.00°, 90.00° and 90.00°. Symmetry generates all atoms from Ti at (0.0000, 0.0000, 0.0000), Ag at (0.0000, 0.0000, 0.5000) and Sb at (0.2500, 0.2500, 0.2500).

---

6.
Compound: NaAlIn2
Source: the Alexandria database
Functional: PBE
Structure: relaxed

As for the formation energy: 0.203 eV per atom.

The structure belongs to space group I-42d (No. 122); the cell edges are 4.5720, 4.5720 and 20.2808 Å and the angles 90.00°, 90.00° and 90.00°. Symmetry generates all atoms from Na at (0.0000, 0.0000, 0.0000), Al at (0.0000, 0.0000, 0.5000) and In at (0.2376, 0.2500, 0.6250).

---

7.
Compound: ZnIr2Pt
Source: the Alexandria database
Functional: PBE
Structure: relaxed

As for the formation energy: 0.014 eV per atom.

The structure belongs to space group P4/mmm (No. 123); the cell edges are 2.7738, 2.7738 and 7.6404 Å and the angles 90.00°, 90.00° and 90.00°. Symmetry generates all atoms from Zn at (0.0000, 0.0000, 0.0000), Ir at (0.5000, 0.5000, 0.2466) and Pt at (0.0000, 0.0000, 0.5000).

---

8.
Compound: CrTeW2Se
Source: the Alexandria database
Functional: PBE
Structure: relaxed

The calculation puts the raw total energy at -30.47 eV for the cell shown.

The structure belongs to space group P4/mmm (No. 123); the cell edges are 4.9438, 4.9438 and 4.6520 Å and the angles 90.00°, 90.00° and 90.00°. Symmetry generates all atoms from Cr at (0.0000, 0.0000, 0.0000), Te at (0.0000, 0.0000, 0.5000), W at (0.0000, 0.5000, 0.5000) and Se at (0.5000, 0.5000, 0.0000).

---

9.
Compound: Sm3Al5O12
Source: the Alexandria database
Functional: PBE
Structure: relaxed

The calculation puts the raw total energy at -1255.08 eV for the cell shown.

The structure belongs to space group Ia-3d (No. 230); the cell edges are 12.2651, 12.2651 and 12.2651 Å and the angles 90.00°, 90.00° and 90.00°. Symmetry generates all atoms from Sm at (0.0000, 0.2500, 0.1250), Al at (0.0000, 0.0000, 0.0000), Al at (0.0000, 0.2500, 0.3750) and O at (0.0320, 0.0484, 0.6482).

---

10.
Compound: Sm6Dy2HoEr
Source: the Alexandria database
Functional: PBE
Structure: relaxed

As for the formation energy: 0.118 eV per atom.

The structure belongs to space group C2/c (No. 15); the cell edges are 9.1563, 15.1982 and 9.5961 Å and the angles 90.00°, 97.59° and 90.00°. Symmetry generates all atoms from Sm at (0.0606, 0.1805, 0.4454), Sm at (0.1008, 0.3919, 0.6190), Sm at (0.2100, 0.2234, 0.8136), Dy at (0.2499, 0.0501, 0.0449), Ho at (0.0000, 0.0258, 0.7500) and Er at (0.0000, 0.4098, 0.2500).

---

11.
Compound: Al2V4H
Source: the Alexandria database
Functional: PBE
Structure: relaxed

The calculation puts the raw total energy at -47.56 eV for the cell shown.

The structure belongs to space group P2/m (No. 10); the cell edges are 5.0558, 2.7230 and 6.8661 Å and the angles 90.00°, 108.46° and 90.00°. Symmetry generates all atoms from Al at (0.2485, 0.0000, 0.4952), V at (0.1710, 0.0000, 0.8562), V at (0.3808, 0.5000, 0.1874) and H at (0.0000, 0.5000, 0.0000).

---

12.
Compound: KCdGeAu3
Source: the Alexandria database
Functional: PBE
Structure: relaxed

As for the formation energy: -0.138 eV per atom.

The structure belongs to space group Cmcm (No. 63); the cell edges are 7.2193, 13.1372 and 7.0682 Å and the angles 90.00°, 90.00° and 90.00°. Symmetry generates all atoms from K at (0.0000, 0.2282, 0.2500), Cd at (0.0000, 0.4865, 0.7500), Ge at (0.0000, 0.0873, 0.7500), Au at (0.0000, 0.2765, 0.7500) and Au at (0.2059, 0.0000, 0.0000).

---

13.
Compound: Pm3ZnOs
Source: the Alexandria database
Functional: PBE
Structure: relaxed

As for the formation energy: -0.196 eV per atom.

The structure belongs to space group Fmmm (No. 69); the cell edges are 6.5353, 9.8586 and 15.9794 Å and the angles 90.00°, 90.00° and 90.00°. Symmetry generates all atoms from Pm at (0.0000, 0.0000, 0.1975), Pm at (0.0000, 0.1876, 0.3951), Zn at (0.1906, 0.0000, 0.0000) and Os at (0.2500, 0.2500, 0.2500).

---

14.
Compound: Ba2Na2CaTl5
Source: the Alexandria database
Functional: PBE
Structure: relaxed

As for the formation energy: -0.261 eV per atom.

The structure belongs to space group P4/mbm (No. 127); the cell edges are 12.3172, 12.3172 and 4.3037 Å and the angles 90.00°, 90.00° and 90.00°. Symmetry generates all atoms from Ba at (0.1781, 0.3219, 0.0000), Na at (0.1248, 0.6248, 0.0000), Ca at (0.0000, 0.0000, 0.0000), Tl at (0.0000, 0.5000, 0.5000) and Tl at (0.0513, 0.8018, 0.5000).

---

15.
Compound: CsTmCdF6
Source: the Alexandria database
Functional: PBE
Structure: relaxed

The calculation puts the raw total energy at -185.60 eV for the cell shown.

The structure belongs to space group Imma (No. 74); the cell edges are 7.9917, 8.2400 and 11.6297 Å and the angles 90.00°, 90.00° and 90.00°. Symmetry generates all atoms from Cs at (0.0000, 0.2500, 0.0925), Tm at (0.0000, 0.0000, 0.5000), Cd at (0.2500, 0.2500, 0.7500), F at (0.0000, 0.2500, 0.4448), F at (0.0000, 0.2500, 0.8324) and F at (0.1941, 0.0472, 0.6214).

---

16.
Compound: KInC
Source: the Alexandria database
Functional: PBE
Structure: relaxed

As for the formation energy: 0.763 eV per atom.

The structure belongs to space group Pmn2_1 (No. 31); the cell edges are 3.8498, 5.5598 and 6.5095 Å and the angles 90.00°, 90.00° and 90.00°. Symmetry generates all atoms from K at (0.0000, 0.0217, 0.0000), In at (0.0000, 0.4852, 0.6565) and C at (0.0000, 0.5785, 0.3234).

---

no.,density of states at the Fermi level (states/eV per cell)
1,80.25
2,6.17
3,11.52
4,26.31
5,15.51
6,9.09
7,4.33
8,5.15
9,0.00
10,54.92
11,6.24
12,5.92
13,31.23
14,9.37
15,0.00
16,0.08